VASP calculation (GGA-PBE) on an optimized crystal structure of SbOsRu2.

Summary:
* volume: 15.8 Å³ per atom
* symmetry: F-43m (216)
* electronic total energy: -31.90 eV for the cell shown
* crystal system: cubic

a b c (Å): 4.466 4.466 4.466
angles (deg): 60.00 60.00 60.00
Element x y z (fractional)
Os1 0.500 0.500 0.500
Sb1 0.750 0.750 0.750
Ru1 0.250 0.250 0.250
Ru2 0.000 0.000 0.000